Compound: Dy2MgOsC
Source: Alexandria
Functional: PBE-GGA
Structure: relaxed

Cell and atoms, written as extended XYZ:
```
5
Lattice="3.943 0.000 0.000 0.000 5.015 0.000 0.000 0.000 5.015" Properties=species:S:1:pos:R:3 pbc="T T T"
Dy 0.000 0.000 2.508
Dy 0.000 2.508 0.000
Mg 1.971 2.508 2.508
Os 1.971 0.000 0.000
C 0.000 0.000 0.000
```

Values from the calculation:
For the density of states at the Fermi level, the calculation gives 2.553 states/eV/f.u. Its total energy is -6.566 eV/atom. As for the crystal system: tetragonal. As for the magnetization: 0.000 Bohr magnetons per cell. As for the energy of formation: -0.32 eV per atom.